Here is crystalline Np4Se6S at its relaxed geometry from Alexandria via LeMat-Bulk. Energies are from GGA-PBE.

The structure belongs to space group P-6m2 (No. 187); the cell edges are 8.7849, 8.7849 and 3.8857 Å and the angles 90.00°, 90.00° and 120.00°. The asymmetric unit holds Np at (0.0000, 0.0000, 0.0000), Np at (0.5008, 0.0015, 0.5000), Se at (0.2073, 0.4146, 0.0000), Se at (0.2715, 0.1358, 0.5000) and S at (0.6667, 0.3333, 0.0000).

As for the raw total energy: -88.341 eV per cell. As for the uncorrected formation energy: -1.049 eV per atom. The crystal system is hexagonal.


Here is crystalline Li2WI at its relaxed geometry from Alexandria via LeMat-Bulk. Energies are from GGA-PBE.

The structure belongs to space group Fm-3m (No. 225); the cell edges are 6.735, 6.735 and 6.735 Å and the angles 90.00°, 90.00° and 90.00°. The asymmetric unit holds Li at (0.250, 0.250, 0.250), W at (0.000, 0.000, 0.000) and I at (0.000, 0.000, 0.500).

As for the raw total energy: -55.979 eV per cell. As for the uncorrected formation energy: 1.084 eV per atom. The crystal system is cubic.


Here is crystalline RuPt2Cl at its relaxed geometry from Alexandria via LeMat-Bulk. Energies are from GGA-PBE.

The structure belongs to space group Cmmm (No. 65); the cell edges are 2.786, 4.921 and 9.323 Å and the angles 90.00°, 90.00° and 90.00°. The asymmetric unit holds Ru at (0.000, 0.000, 0.000), Pt at (0.000, 0.500, 0.243) and Cl at (0.000, 0.000, 0.500).

As for the raw total energy: -42.993 eV per cell. As for the uncorrected formation energy: 0.427 eV per atom. The crystal system is orthorhombic.


Here is crystalline RbNa2VMo at its relaxed geometry from Alexandria via LeMat-Bulk. Energies are from GGA-PBE.

The structure belongs to space group P4/mmm (No. 123); the cell edges are 4.806, 4.806 and 5.299 Å and the angles 90.00°, 90.00° and 90.00°. The asymmetric unit holds Rb at (0.000, 0.000, 0.000), Na at (0.000, 0.500, 0.000), V at (0.000, 0.000, 0.500) and Mo at (0.500, 0.500, 0.500).

As for the raw total energy: -12.639 eV per cell. The crystal system is tetragonal.


Here is crystalline Y4Ru3 at its relaxed geometry from Alexandria via LeMat-Bulk. Energies are from GGA-PBE.

The structure belongs to space group I4/mmm (No. 139); the cell edges are 3.743, 3.743 and 22.634 Å and the angles 90.00°, 90.00° and 90.00°. The asymmetric unit holds Y at (0.000, 0.000, 0.069), Y at (0.000, 0.000, 0.328), Ru at (0.000, 0.000, 0.202) and Ru at (0.000, 0.000, 0.500).

As for the raw total energy: -107.559 eV per cell. The crystal system is tetragonal.


Here is crystalline Ca2Ac3Rh4 at its relaxed geometry from Alexandria via LeMat-Bulk. Energies are from GGA-PBE.

The structure belongs to space group C2/m (No. 12); the cell edges are 12.065, 4.357 and 9.558 Å and the angles 90.00°, 104.07° and 90.00°. The asymmetric unit holds Ca at (0.185, 0.000, 0.319), Ac at (0.000, 0.500, 0.500), Ac at (0.117, 0.000, 0.898), Rh at (0.105, 0.500, 0.105) and Rh at (0.155, 0.000, 0.621).

As for the raw total energy: -100.381 eV per cell. The crystal system is monoclinic.